MoBrCl2: relaxed, PBE-GGA.

## Properties
Relative energy among the computed polymorphs (kJ/mol of atoms): 52.3
Density of states at the Fermi level (states/eV per cell): 0.186
E_form (uncorrected) (eV/atom): -0.069
Calculated density (g/cm3): 4.40

The structure in CIF format:
```
data_MoBrCl2
_chemical_formula_sum 'Mo1 Br1 Cl2'
_space_group_name_H-M_alt 'P 1'
_space_group_IT_number 1
_cell_length_a 3.944
_cell_length_b 3.944
_cell_length_c 7.282
_cell_angle_alpha 74.30
_cell_angle_beta 74.30
_cell_angle_gamma 59.98
loop_
_space_group_symop_operation_xyz
'x,y,z'
loop_
_atom_site_label
_atom_site_fract_x
_atom_site_fract_y
_atom_site_fract_z
_atom_site_occupancy
Mo1 0.496 0.496 0.512 1
Br1 0.230 0.230 0.309 1
Cl1 0.000 0.000 0.999 1
Cl2 0.773 0.773 0.680 1
```

=====

Mo4BrCl: relaxed, PBE-GGA.

## Properties
Density of states at the Fermi level (states/eV per cell): 7.075
E_form (uncorrected) (eV/atom): 1.213
Calculated density (g/cm3): 7.30

The structure in CIF format:
```
data_Mo4BrCl
_chemical_formula_sum 'Mo4 Br1 Cl1'
_space_group_name_H-M_alt 'P 1'
_space_group_IT_number 1
_cell_length_a 5.435
_cell_length_b 5.435
_cell_length_c 5.435
_cell_angle_alpha 60.00
_cell_angle_beta 60.00
_cell_angle_gamma 60.00
loop_
_space_group_symop_operation_xyz
'x,y,z'
loop_
_atom_site_label
_atom_site_fract_x
_atom_site_fract_y
_atom_site_fract_z
_atom_site_occupancy
Mo1 0.851 0.383 0.383 1
Mo2 0.383 0.383 0.851 1
Mo3 0.383 0.851 0.383 1
Mo4 0.383 0.383 0.383 1
Br1 0.750 0.750 0.750 1
Cl1 0.000 0.000 0.000 1
```

=====

Mo2BrCl: relaxed, PBE-GGA.

## Properties
Relative energy among the computed polymorphs (kJ/mol of atoms): 56.4
Density of states at the Fermi level (states/eV per cell): 2.340
E_form (uncorrected) (eV/atom): 0.447
Calculated density (g/cm3): 5.82

The structure in CIF format:
```
data_Mo2BrCl
_chemical_formula_sum 'Mo2 Br1 Cl1'
_space_group_name_H-M_alt 'P 1'
_space_group_IT_number 1
_cell_length_a 4.305
_cell_length_b 3.802
_cell_length_c 5.367
_cell_angle_alpha 93.05
_cell_angle_beta 90.00
_cell_angle_gamma 90.00
loop_
_space_group_symop_operation_xyz
'x,y,z'
loop_
_atom_site_label
_atom_site_fract_x
_atom_site_fract_y
_atom_site_fract_z
_atom_site_occupancy
Mo1 0.000 0.059 0.894 1
Mo2 0.000 0.441 0.606 1
Br1 0.500 0.250 0.250 1
Cl1 0.500 0.750 0.750 1
```